Below is an optimized crystal structure of RbGaSe2, with properties calculated at the PBE level.

Values from the calculation:
SG	No. 166
M_tot	0.00	μB/atom
volume	50.80	Å³ per atom
E_form (uncorrected)	-2.6	eV per formula unit

Structure (POSCAR):
```
RbGaSe2
1.0
5.6660 0.0000 0.0000
-2.8330 4.9069 0.0000
0.0000 0.0000 21.9264
Rb Ga Se
3 3 6
Direct
0.0000 0.0000 0.0000
0.3333 0.6667 0.6667
0.6667 0.3333 0.3333
0.0000 0.0000 0.5000
0.3333 0.6667 0.1667
0.6667 0.3333 0.8333
0.0000 0.0000 0.3996
0.0000 0.0000 0.6004
0.3333 0.6667 0.0662
0.3333 0.6667 0.2671
0.6667 0.3333 0.7329
0.6667 0.3333 0.9338
```

Below is an optimized crystal structure of RbGa4Se7, with properties calculated at the PBE level.

Values from the calculation:
SG	No. 31
M_tot	0.08	μB/atom
volume	28.18	Å³ per atom
E_form (uncorrected)	-7.9	eV per formula unit

Structure (POSCAR):
```
RbGa4Se7
1.0
15.7424 0.0000 0.0000
0.0000 6.6873 0.0000
0.0000 0.0000 6.4243
Rb Ga Se
2 8 14
Direct
0.0000 0.1813 0.0000
0.5000 0.8187 0.5000
0.1218 0.6676 0.6198
0.2490 0.1808 0.5991
0.2510 0.8192 0.0991
0.3782 0.3324 0.1198
0.6218 0.3324 0.1198
0.7490 0.8192 0.0991
0.7510 0.1808 0.5991
0.8782 0.6676 0.6198
0.0000 0.8473 0.4771
0.1157 0.3251 0.4949
0.1157 0.6852 0.9972
0.2452 0.1758 0.9905
0.2548 0.8242 0.4905
0.3843 0.3148 0.4972
0.3843 0.6749 0.9949
0.5000 0.1527 0.9771
0.6157 0.3148 0.4972
0.6157 0.6749 0.9949
0.7452 0.8242 0.4905
0.7548 0.1758 0.9905
0.8843 0.3251 0.4949
0.8843 0.6852 0.9972
```

Below is an optimized crystal structure of RbGaSe2, with properties calculated at the PBE level.

Values from the calculation:
SG	No. 1
M_tot	0.00	μB/atom
volume	38.34	Å³ per atom
E_form (uncorrected)	-3.8	eV per formula unit

Structure (POSCAR):
```
RbGaSe2
1.0
6.3652 0.0000 0.0000
1.2467 7.3765 0.0000
1.2592 3.4307 6.5329
Rb Ga Se
2 2 4
Direct
0.0000 0.0000 0.0000
0.4221 0.3311 0.3308
0.2093 0.7686 0.5615
0.7094 0.7710 0.5595
0.0029 0.5014 0.6081
0.4156 0.7192 0.8296
0.4994 0.8461 0.2798
0.9199 0.0500 0.4868
```

Below is an optimized crystal structure of RbGa2Se2, with properties calculated at the PBE level.

Values from the calculation:
relative energy among the computed polymorphs	0	meV per atom
SG	No. 139
M_tot	0.00	μB/atom
volume	25.94	Å³ per atom
E_form (uncorrected)	-2.8	eV per formula unit

Structure (POSCAR):
```
RbGa2Se2
1.0
5.1967 0.0000 0.0000
0.0000 5.1967 0.0000
0.0000 0.0000 9.6061
Rb Ga Se
2 4 4
Direct
0.0000 0.0000 0.0000
0.5000 0.5000 0.5000
0.0000 0.0000 0.3545
0.0000 0.0000 0.6455
0.5000 0.5000 0.1455
0.5000 0.5000 0.8545
0.0000 0.5000 0.2500
0.0000 0.5000 0.7500
0.5000 0.0000 0.2500
0.5000 0.0000 0.7500
```

Please write out number 1 again, unchanged.
Below is an optimized crystal structure of RbGaSe2, with properties calculated at the PBE level.

Values from the calculation:
SG	No. 166
M_tot	0.00	μB/atom
volume	50.80	Å³ per atom
E_form (uncorrected)	-2.6	eV per formula unit

Structure (POSCAR):
```
RbGaSe2
1.0
5.6660 0.0000 0.0000
-2.8330 4.9069 0.0000
0.0000 0.0000 21.9264
Rb Ga Se
3 3 6
Direct
0.0000 0.0000 0.0000
0.3333 0.6667 0.6667
0.6667 0.3333 0.3333
0.0000 0.0000 0.5000
0.3333 0.6667 0.1667
0.6667 0.3333 0.8333
0.0000 0.0000 0.3996
0.0000 0.0000 0.6004
0.3333 0.6667 0.0662
0.3333 0.6667 0.2671
0.6667 0.3333 0.7329
0.6667 0.3333 0.9338
```

Copy entry 4 word for word.
Below is an optimized crystal structure of RbGa2Se2, with properties calculated at the PBE level.

Values from the calculation:
relative energy among the computed polymorphs	0	meV per atom
SG	No. 139
M_tot	0.00	μB/atom
volume	25.94	Å³ per atom
E_form (uncorrected)	-2.8	eV per formula unit

Structure (POSCAR):
```
RbGa2Se2
1.0
5.1967 0.0000 0.0000
0.0000 5.1967 0.0000
0.0000 0.0000 9.6061
Rb Ga Se
2 4 4
Direct
0.0000 0.0000 0.0000
0.5000 0.5000 0.5000
0.0000 0.0000 0.3545
0.0000 0.0000 0.6455
0.5000 0.5000 0.1455
0.5000 0.5000 0.8545
0.0000 0.5000 0.2500
0.0000 0.5000 0.7500
0.5000 0.0000 0.2500
0.5000 0.0000 0.7500
```

- Which value of volume does entry 4 give?
  25.94 Å³ per atom